Record 1
Crystalline CaPrAgPb at its relaxed geometry, computed with PBE-GGA.

Calculated values
Fermi-level density of states, states/eV per cell: 6.0
Space group: No. 216
Electronic total energy, eV for the cell shown: -60.9
Spin magnetization, Bohr magnetons per cell: 0.0

a b c (Å): 7.697 7.697 7.697
angles (deg): 90.00 90.00 90.00
Positions (direct):
Ca  0.000  0.000  0.000
Ca  0.000  0.500  0.500
Ca  0.500  0.000  0.500
Ca  0.500  0.500  0.000
Pr  0.000  0.000  0.500
Pr  0.000  0.500  0.000
Pr  0.500  0.000  0.000
Pr  0.500  0.500  0.500
Ag  0.250  0.250  0.250
Ag  0.250  0.750  0.750
Ag  0.750  0.250  0.750
Ag  0.750  0.750  0.250
Pb  0.250  0.250  0.750
Pb  0.250  0.750  0.250
Pb  0.750  0.250  0.250
Pb  0.750  0.750  0.750

=====

Record 2
Crystalline NbCdPBr2 at its relaxed geometry, computed with PBE-GGA.

Calculated values
Fermi-level density of states, states/eV per cell: 4.0
Space group: No. 123
Electronic total energy, eV for the cell shown: -15.2
Spin magnetization, Bohr magnetons per cell: 2.1

a b c (Å): 5.381 5.381 5.021
angles (deg): 90.00 90.00 90.00
Positions (direct):
Nb  0.000  0.000  0.000
Cd  0.500  0.500  0.500
P  0.500  0.500  0.000
Br  0.000  0.500  0.500
Br  0.500  0.000  0.500

=====

Record 3
Crystalline DyYFe at its relaxed geometry, computed with PBE-GGA.

Calculated values
Fermi-level density of states, states/eV per cell: 14.0
Space group: No. 64
Offset from the most stable computed form, meV/atom: 3
Spin magnetization, Bohr magnetons per cell: 3.1

a b c (Å): 6.863 6.863 7.384
angles (deg): 90.00 90.00 120.47
Positions (direct):
Dy  0.205  0.295  0.250
Dy  0.295  0.205  0.750
Dy  0.705  0.795  0.250
Dy  0.795  0.705  0.750
Y  0.197  0.803  0.387
Y  0.303  0.697  0.887
Y  0.697  0.303  0.113
Y  0.803  0.197  0.613
Fe  0.091  0.909  0.044
Fe  0.409  0.591  0.544
Fe  0.591  0.409  0.456
Fe  0.909  0.091  0.956

=====

Record 4
Crystalline CsAcPd4 at its relaxed geometry, computed with PBE-GGA.

Calculated values
Fermi-level density of states, states/eV per cell: 1.1
Space group: No. 216
Electronic total energy, eV for the cell shown: -28.0
Spin magnetization, Bohr magnetons per cell: 0.0

a b c (Å): 5.705 5.705 5.705
angles (deg): 60.00 60.00 60.00
Positions (direct):
Cs  0.000  0.000  0.000
Ac  0.250  0.250  0.250
Pd  0.127  0.624  0.624
Pd  0.624  0.127  0.624
Pd  0.624  0.624  0.127
Pd  0.624  0.624  0.624

=====

Q: Number 4 is which compound?
A: CsAcPd4